Entry from Alexandria via LeMat-Bulk: ErSc3Zn8 after structural relaxation (PBE).

Computed properties:
As for the density of states at the Fermi level: 0.74 states/eV/atom. For the total energy, the calculation gives -3.144 eV per atom. The formation energy comes out at -384 kJ/mol of formula units.

abc: 9.1494 9.1494 9.1494
angles: 33.70 33.70 33.70
Last column: nearest neighbours and their distance in Å.
Atoms (fractional coordinates):
Er (0.0000, 0.0000, 0.0000)  12 Zn 3.11-3.14, 4 Sc 3.25-3.27
Sc (0.1255, 0.1255, 0.1255)  12 Zn 3.04-3.11, 3 Sc 3.23, 1 Er 3.25
Sc (0.4986, 0.4986, 0.4986)  12 Zn 3.05-3.11, 4 Sc 3.20-3.23
Sc (0.6223, 0.6223, 0.6223)  12 Zn 3.09-3.17, 1 Sc 3.20, 3 Er 3.27
Zn (0.0615, 0.0615, 0.5590)  6 Zn 2.62-2.67
Zn (0.0615, 0.5590, 0.0615)  6 Zn 2.62-2.67
Zn (0.0643, 0.5624, 0.5624)  6 Zn 2.62-2.67
Zn (0.3115, 0.3115, 0.3115)  6 Zn 2.66-2.67
Zn (0.5590, 0.0615, 0.0615)  6 Zn 2.62-2.67
Zn (0.5624, 0.0643, 0.5624)  6 Zn 2.62-2.67
Zn (0.5624, 0.5624, 0.0643)  6 Zn 2.62-2.67
Zn (0.8118, 0.8118, 0.8118)  6 Zn 2.62